Entry A
First-principles (GGA-PBE) data for TbYTh after structural relaxation, as listed in the Alexandria database.

```
data_TbYTh
_space_group_name_H-M_alt 'P 1'
_space_group_IT_number 1
_cell_length_a 3.583
_cell_length_b 3.583
_cell_length_c 8.700
_cell_angle_alpha 90.00
_cell_angle_beta 90.00
_cell_angle_gamma 120.00
loop_
_space_group_symop_operation_xyz
'x,y,z'
loop_
_atom_site_label
_atom_site_type_symbol
_atom_site_fract_x
_atom_site_fract_y
_atom_site_fract_z
Y1 Y 0.333 0.667 0.673
Tb1 Tb 0.667 0.333 0.326
Th1 Th 0.000 0.000 0.001
```

Output
mass density: 8.24 g cm⁻³

***

Entry B
First-principles (GGA-PBE) data for TbYTh after structural relaxation, as listed in the Alexandria database.

```
data_TbYTh
_space_group_name_H-M_alt 'P 1'
_space_group_IT_number 1
_cell_length_a 4.911
_cell_length_b 4.911
_cell_length_c 8.521
_cell_angle_alpha 90.00
_cell_angle_beta 90.00
_cell_angle_gamma 90.00
loop_
_space_group_symop_operation_xyz
'x,y,z'
loop_
_atom_site_label
_atom_site_type_symbol
_atom_site_fract_x
_atom_site_fract_y
_atom_site_fract_z
Tb1 Tb 0.000 0.500 0.716
Tb2 Tb 0.500 0.000 0.284
Th1 Th 0.500 0.500 0.000
Th2 Th 0.000 0.000 0.000
Y1 Y 0.500 0.000 0.699
Y2 Y 0.000 0.500 0.301
```

Output
mass density: 7.76 g cm⁻³

***

Entry C
First-principles (GGA-PBE) data for TbYTh after structural relaxation, as listed in the Alexandria database.

```
data_TbYTh
_space_group_name_H-M_alt 'P 1'
_space_group_IT_number 1
_cell_length_a 7.192
_cell_length_b 7.193
_cell_length_c 10.317
_cell_angle_alpha 79.73
_cell_angle_beta 121.57
_cell_angle_gamma 120.32
loop_
_space_group_symop_operation_xyz
'x,y,z'
loop_
_atom_site_label
_atom_site_type_symbol
_atom_site_fract_x
_atom_site_fract_y
_atom_site_fract_z
Tb1 Tb 0.750 0.250 0.500
Tb2 Tb 0.250 0.250 0.500
Tb3 Tb 0.750 0.750 0.500
Tb4 Tb 0.250 0.750 0.500
Y1 Y 0.811 0.356 0.168
Y2 Y 0.311 0.856 0.168
Y3 Y 0.689 0.144 0.832
Y4 Y 0.189 0.644 0.832
Th1 Th 0.693 0.643 0.835
Th2 Th 0.807 0.857 0.165
Th3 Th 0.193 0.143 0.835
Th4 Th 0.307 0.357 0.165
```

Output
mass density: 8.18 g cm⁻³

***

Most stable: entry A

***

Entry A
First-principles (GGA-PBE) data for Tb2Y2Th after structural relaxation, as listed in the Alexandria database.

```
data_Tb2Y2Th
_space_group_name_H-M_alt 'P 1'
_space_group_IT_number 1
_cell_length_a 5.461
_cell_length_b 7.002
_cell_length_c 8.859
_cell_angle_alpha 90.00
_cell_angle_beta 107.95
_cell_angle_gamma 90.00
loop_
_space_group_symop_operation_xyz
'x,y,z'
loop_
_atom_site_label
_atom_site_type_symbol
_atom_site_fract_x
_atom_site_fract_y
_atom_site_fract_z
Tb1 Tb 0.393 0.577 0.786
Tb2 Tb 0.800 0.827 0.601
Tb3 Tb 0.200 0.327 0.399
Tb4 Tb 0.607 0.077 0.214
Y1 Y 0.999 0.828 0.999
Y2 Y 0.800 0.326 0.601
Y3 Y 0.200 0.826 0.399
Y4 Y 0.001 0.328 0.001
Th1 Th 0.391 0.076 0.782
Th2 Th 0.609 0.576 0.218
```

Output
mass density: 7.50 g cm⁻³

***

Entry B
First-principles (GGA-PBE) data for Tb2Y2Th after structural relaxation, as listed in the Alexandria database.

```
data_Tb2Y2Th
_space_group_name_H-M_alt 'P 1'
_space_group_IT_number 1
_cell_length_a 8.747
_cell_length_b 6.514
_cell_length_c 9.045
_cell_angle_alpha 70.64
_cell_angle_beta 60.42
_cell_angle_gamma 47.82
loop_
_space_group_symop_operation_xyz
'x,y,z'
loop_
_atom_site_label
_atom_site_type_symbol
_atom_site_fract_x
_atom_site_fract_y
_atom_site_fract_z
Tb1 Tb 0.670 0.350 0.706
Tb2 Tb 0.330 0.650 0.294
Tb3 Tb 0.021 0.650 0.706
Tb4 Tb 0.979 0.350 0.294
Y1 Y 0.744 0.000 0.415
Y2 Y 0.589 0.000 0.128
Y3 Y 0.411 0.000 0.872
Y4 Y 0.256 0.000 0.585
Th1 Th 0.165 0.670 0.000
Th2 Th 0.835 0.330 0.000
```

Output
mass density: 7.28 g cm⁻³

***

Most stable: entry A

***

Entry A
First-principles (GGA-PBE) data for Tb3Y2Th after structural relaxation, as listed in the Alexandria database.

```
data_Tb3Y2Th
_space_group_name_H-M_alt 'P 1'
_space_group_IT_number 1
_cell_length_a 6.395
_cell_length_b 8.134
_cell_length_c 8.134
_cell_angle_alpha 71.02
_cell_angle_beta 90.00
_cell_angle_gamma 90.00
loop_
_space_group_symop_operation_xyz
'x,y,z'
loop_
_atom_site_label
_atom_site_type_symbol
_atom_site_fract_x
_atom_site_fract_y
_atom_site_fract_z
Tb1 Tb 0.077 0.750 0.384
Tb2 Tb 0.577 0.616 0.250
Tb3 Tb 0.077 0.384 0.750
Tb4 Tb 0.577 0.250 0.616
Tb5 Tb 0.340 0.916 0.916
Tb6 Tb 0.840 0.084 0.084
Y1 Y 0.552 0.870 0.507
Y2 Y 0.052 0.493 0.130
Y3 Y 0.552 0.507 0.870
Y4 Y 0.052 0.130 0.493
Th1 Th 0.860 0.830 0.830
Th2 Th 0.360 0.170 0.170
```

Output
mass density: 7.36 g cm⁻³

***

Entry B
First-principles (GGA-PBE) data for Tb3Y2Th after structural relaxation, as listed in the Alexandria database.

```
data_Tb3Y2Th
_space_group_name_H-M_alt 'P 1'
_space_group_IT_number 1
_cell_length_a 11.195
_cell_length_b 8.889
_cell_length_c 8.889
_cell_angle_alpha 44.40
_cell_angle_beta 50.97
_cell_angle_gamma 50.97
loop_
_space_group_symop_operation_xyz
'x,y,z'
loop_
_atom_site_label
_atom_site_type_symbol
_atom_site_fract_x
_atom_site_fract_y
_atom_site_fract_z
Tb1 Tb 0.500 0.250 0.750
Tb2 Tb 0.500 0.750 0.250
Tb3 Tb 0.233 0.017 0.517
Tb4 Tb 0.767 0.483 0.983
Tb5 Tb 0.767 0.983 0.483
Tb6 Tb 0.233 0.517 0.017
Y1 Y 0.918 0.324 0.324
Y2 Y 0.566 0.176 0.176
Y3 Y 0.434 0.824 0.824
Y4 Y 0.082 0.676 0.676
Th1 Th 0.000 0.500 0.500
Th2 Th 0.000 0.000 0.000
```

Output
mass density: 6.49 g cm⁻³

***

Most stable: entry A

***

Entry A
First-principles (GGA-PBE) data for TbY7Th3 after structural relaxation, as listed in the Alexandria database.

```
data_TbY7Th3
_space_group_name_H-M_alt 'P 1'
_space_group_IT_number 1
_cell_length_a 6.723
_cell_length_b 8.705
_cell_length_c 6.462
_cell_angle_alpha 82.98
_cell_angle_beta 83.25
_cell_angle_gamma 101.36
loop_
_space_group_symop_operation_xyz
'x,y,z'
loop_
_atom_site_label
_atom_site_type_symbol
_atom_site_fract_x
_atom_site_fract_y
_atom_site_fract_z
Tb1 Tb 0.500 0.500 0.500
Y1 Y 0.232 0.205 0.294
Y2 Y 0.285 0.856 0.569
Y3 Y 0.732 0.424 0.008
Y4 Y 0.268 0.576 0.992
Y5 Y 0.000 0.500 0.500
Y6 Y 0.715 0.144 0.431
Y7 Y 0.768 0.795 0.706
Th1 Th 0.946 0.837 0.175
Th2 Th 0.500 0.000 0.000
Th3 Th 0.054 0.163 0.825
```

Output
mass density: 6.74 g cm⁻³

***

Entry B
First-principles (GGA-PBE) data for TbY7Th3 after structural relaxation, as listed in the Alexandria database.

```
data_TbY7Th3
_space_group_name_H-M_alt 'P 1'
_space_group_IT_number 1
_cell_length_a 8.554
_cell_length_b 7.115
_cell_length_c 7.115
_cell_angle_alpha 120.00
_cell_angle_beta 90.00
_cell_angle_gamma 90.00
loop_
_space_group_symop_operation_xyz
'x,y,z'
loop_
_atom_site_label
_atom_site_type_symbol
_atom_site_fract_x
_atom_site_fract_y
_atom_site_fract_z
Tb1 Tb 0.457 0.333 0.667
Y1 Y 0.113 0.168 0.832
Y2 Y 0.113 0.168 0.336
Y3 Y 0.110 0.667 0.333
Y4 Y 0.453 0.832 0.168
Y5 Y 0.453 0.336 0.168
Y6 Y 0.453 0.832 0.664
Y7 Y 0.113 0.664 0.832
Th1 Th 0.783 0.500 0.500
Th2 Th 0.783 0.500 0.000
Th3 Th 0.783 0.000 0.500
```

Output
mass density: 6.54 g cm⁻³

***

Most stable: entry A

***

Entry A
First-principles (GGA-PBE) data for Tb4Y2Th after structural relaxation, as listed in the Alexandria database.

```
data_Tb4Y2Th
_space_group_name_H-M_alt 'P 1'
_space_group_IT_number 1
_cell_length_a 6.674
_cell_length_b 8.998
_cell_length_c 8.998
_cell_angle_alpha 79.14
_cell_angle_beta 68.23
_cell_angle_gamma 68.23
loop_
_space_group_symop_operation_xyz
'x,y,z'
loop_
_atom_site_label
_atom_site_type_symbol
_atom_site_fract_x
_atom_site_fract_y
_atom_site_fract_z
Tb1 Tb 0.148 0.358 0.347
Tb2 Tb 0.148 0.847 0.858
Tb3 Tb 0.236 0.239 0.739
Tb4 Tb 0.787 0.239 0.739
Tb5 Tb 0.213 0.761 0.261
Tb6 Tb 0.852 0.153 0.142
Tb7 Tb 0.764 0.761 0.261
Tb8 Tb 0.852 0.642 0.653
Y1 Y 0.278 0.972 0.472
Y2 Y 0.500 0.000 0.000
Y3 Y 0.500 0.500 0.500
Y4 Y 0.722 0.028 0.528
Th1 Th 0.000 0.500 0.000
Th2 Th 0.500 0.500 0.000
```

Output
mass density: 7.46 g cm⁻³

***

Entry B
First-principles (GGA-PBE) data for Tb4Y2Th after structural relaxation, as listed in the Alexandria database.

```
data_Tb4Y2Th
_space_group_name_H-M_alt 'P 1'
_space_group_IT_number 1
_cell_length_a 3.605
_cell_length_b 3.603
_cell_length_c 20.240
_cell_angle_alpha 95.15
_cell_angle_beta 90.00
_cell_angle_gamma 120.01
loop_
_space_group_symop_operation_xyz
'x,y,z'
loop_
_atom_site_label
_atom_site_type_symbol
_atom_site_fract_x
_atom_site_fract_y
_atom_site_fract_z
Tb1 Tb 0.906 0.813 0.954
Tb2 Tb 0.427 0.855 0.523
Tb3 Tb 0.001 0.003 0.237
Tb4 Tb 0.523 0.047 0.811
Y1 Y 0.621 0.241 0.096
Y2 Y 0.714 0.428 0.380
Th1 Th 0.808 0.617 0.667
```

Output
mass density: 7.67 g cm⁻³

***

Most stable: entry B

***

Entry A
First-principles (GGA-PBE) data for TbYTh2 after structural relaxation, as listed in the Alexandria database.

```
data_TbYTh2
_space_group_name_H-M_alt 'P 1'
_space_group_IT_number 1
_cell_length_a 5.058
_cell_length_b 5.067
_cell_length_c 11.289
_cell_angle_alpha 90.00
_cell_angle_beta 116.55
_cell_angle_gamma 90.00
loop_
_space_group_symop_operation_xyz
'x,y,z'
loop_
_atom_site_label
_atom_site_type_symbol
_atom_site_fract_x
_atom_site_fract_y
_atom_site_fract_z
Tb1 Tb 0.869 0.750 0.370
Tb2 Tb 0.131 0.250 0.630
Y1 Y 0.370 0.250 0.370
Y2 Y 0.630 0.750 0.630
Th1 Th 0.623 0.250 0.122
Th2 Th 0.377 0.750 0.878
Th3 Th 0.122 0.750 0.122
Th4 Th 0.878 0.250 0.878
```

Output
mass density: 9.14 g cm⁻³

***

Entry B
First-principles (GGA-PBE) data for TbYTh2 after structural relaxation, as listed in the Alexandria database.

```
data_TbYTh2
_space_group_name_H-M_alt 'P 1'
_space_group_IT_number 1
_cell_length_a 3.559
_cell_length_b 3.559
_cell_length_c 10.184
_cell_angle_alpha 90.00
_cell_angle_beta 90.00
_cell_angle_gamma 90.00
loop_
_space_group_symop_operation_xyz
'x,y,z'
loop_
_atom_site_label
_atom_site_type_symbol
_atom_site_fract_x
_atom_site_fract_y
_atom_site_fract_z
Y1 Y 0.500 0.500 0.500
Tb1 Tb 0.500 0.500 0.000
Th1 Th 0.000 0.000 0.751
Th2 Th 0.000 0.000 0.249
```

Output
mass density: 9.16 g cm⁻³

***

Most stable: entry A